Record 1
Density functional theory data (PBE-GGA) for a relaxed structure of SmHo2Th6.

ΔH_f (0 K)   0.300 eV/atom
Total DFT energy (no corrections)   -6.189 eV/atom
Calculated volume   306.2 Å³ per cell
Density   10.153 g/cm³
Space-group type   C2/m, No. 12
Total moment   0.0 μB/cell

Lattice parameters (Å, degrees): 6.8299 6.8299 9.2192 120.52 120.52 62.16
Closest atoms and distances in Å follow each position.
Atoms (fractional coordinates):
Sm1 0.0000 0.0000 0.0000  6 Th 3.12-3.27
Ho1 0.2948 0.2948 0.8781  9 Th 3.64-4.02, 1 Ho 3.91, 2 Sm 4.03
Ho2 0.7052 0.7052 0.1219  9 Th 3.64-4.02, 1 Ho 3.91, 2 Sm 4.03
Th1 0.1644 0.6869 0.6490  4 Th 3.21-3.37, 1 Sm 3.27
Th2 0.3131 0.8356 0.3510  4 Th 3.21-3.37, 1 Sm 3.27
Th3 0.3272 0.3272 0.2964  1 Sm 3.12, 4 Th 3.21-3.29
Th4 0.6728 0.6728 0.7036  1 Sm 3.12, 4 Th 3.21-3.29
Th5 0.6869 0.1644 0.6490  4 Th 3.21-3.37, 1 Sm 3.27
Th6 0.8356 0.3131 0.3510  4 Th 3.21-3.37, 1 Sm 3.27


Record 2
Density functional theory data (PBE-GGA) for a relaxed structure of K2H6O3.

Total DFT energy (no corrections)   -4.006 eV/atom
Calculated volume   103.3 Å³ per cell
Density   2.126 g/cm³
Space-group type   P-62m, No. 189
Total moment   0.0 μB/cell

Lattice parameters (Å, degrees): 5.8617 5.8617 3.4706 90.00 90.00 120.00
Closest atoms and distances in Å follow each position.
Atoms (fractional coordinates):
K1 0.3333 0.6667 0.0000  6 O 2.85, 9 H 2.93-3.14
K2 0.6667 0.3333 0.0000  6 O 2.85, 9 H 2.93-3.14
H1 0.0000 0.1595 0.5000  2 O 1.25
H2 0.0000 0.9078 0.0000  2 H 0.94
H3 0.0922 0.0922 0.0000  2 H 0.94
H4 0.1595 0.0000 0.5000  2 O 1.25
H5 0.8405 0.8405 0.5000  2 O 1.25
H6 0.9078 0.0000 0.0000  2 H 0.94
O1 0.0000 0.7568 0.5000  2 H 1.25
O2 0.2432 0.2432 0.5000  2 H 1.25
O3 0.7568 0.0000 0.5000  2 H 1.25


Record 3
Density functional theory data (PBE-GGA) for a relaxed structure of DyTmCdNi.

ΔH_f (0 K)   -0.276 eV/atom
Total DFT energy (no corrections)   -4.218 eV/atom
Calculated volume   89.3 Å³ per cell
Density   9.344 g/cm³
Space-group type   F-43m, No. 216
Total moment   0.0 μB/cell
E above lowest polymorph   0.109 eV per atom

Lattice parameters (Å, degrees): 5.0173 5.0173 5.0173 60.00 60.00 60.00
Closest atoms and distances in Å follow each position.
Atoms (fractional coordinates):
Dy1 0.0000 0.0000 0.0000  4 Cd 3.07, 4 Ni 3.07
Tm1 0.5000 0.5000 0.5000  4 Ni 3.07, 4 Cd 3.07
Cd1 0.7500 0.7500 0.7500  4 Tm 3.07, 4 Dy 3.07
Ni1 0.2500 0.2500 0.2500  4 Tm 3.07, 4 Dy 3.07


Record 4
Density functional theory data (PBE-GGA) for a relaxed structure of Tb2ScPa2Ru5.

ΔH_f (0 K)   -0.315 eV/atom
Total DFT energy (no corrections)   -8.411 eV/atom
Calculated volume   402.0 Å³ per cell
Density   10.989 g/cm³
Space-group type   P4/mbm, No. 127
Total moment   0.0 μB/cell

Lattice parameters (Å, degrees): 10.9394 10.9394 3.3595 90.00 90.00 90.00
Closest atoms and distances in Å follow each position.
Atoms (fractional coordinates):
Tb1 0.1624 0.3376 0.0000  1 Pa 2.91, 6 Ru 3.02-3.20
Tb2 0.3376 0.8376 0.0000  1 Pa 2.91, 6 Ru 3.02-3.20
Tb3 0.6624 0.1624 0.0000  1 Pa 2.91, 6 Ru 3.02-3.20
Tb4 0.8376 0.6624 0.0000  1 Pa 2.91, 6 Ru 3.02-3.20
Sc1 0.0000 0.0000 0.0000  8 Ru 2.84
Sc2 0.5000 0.5000 0.0000  8 Ru 2.84
Pa1 0.1495 0.6495 0.0000  6 Ru 2.57-2.86
Pa2 0.3505 0.1495 0.0000  6 Ru 2.57-2.86
Pa3 0.6495 0.8505 0.0000  6 Ru 2.57-2.86
Pa4 0.8505 0.3505 0.0000  6 Ru 2.57-2.86
Ru1 0.0000 0.5000 0.5000  4 Pa 2.86, 4 Tb 3.02
Ru2 0.0476 0.7958 0.5000  2 Pa 2.57, 2 Sc 2.84
Ru3 0.2042 0.0476 0.5000  2 Pa 2.57, 2 Sc 2.84
Ru4 0.2958 0.5476 0.5000  2 Pa 2.57, 2 Sc 2.84
Ru5 0.4524 0.2958 0.5000  2 Pa 2.57, 2 Sc 2.84
Ru6 0.5000 0.0000 0.5000  4 Pa 2.86, 4 Tb 3.02
Ru7 0.5476 0.7042 0.5000  2 Pa 2.57, 2 Sc 2.84
Ru8 0.7042 0.4524 0.5000  2 Pa 2.57, 2 Sc 2.84
Ru9 0.7958 0.9524 0.5000  2 Pa 2.57, 2 Sc 2.84
Ru10 0.9524 0.2042 0.5000  2 Pa 2.57, 2 Sc 2.84


Record 5
Density functional theory data (PBE-GGA) for a relaxed structure of LiTeI2F.

Total DFT energy (no corrections)   -2.095 eV/atom
Calculated volume   137.8 Å³ per cell
Density   4.910 g/cm³
Space-group type   P4/mmm, No. 123
Total moment   0.0 μB/cell
E above lowest polymorph   0.369 eV per atom

Lattice parameters (Å, degrees): 5.1902 5.1902 5.1145 90.00 90.00 90.00
Closest atoms and distances in Å follow each position.
Atoms (fractional coordinates):
Li1 0.0000 0.0000 0.0000  2 Te 2.56, 4 I 2.60
Te1 0.0000 0.0000 0.5000  2 Li 2.56
I1 0.0000 0.5000 0.0000  2 Li 2.60
I2 0.5000 0.0000 0.0000  2 Li 2.60
F1 0.5000 0.5000 0.5000  8 I 3.64, 4 Te 3.67


Record 6
Density functional theory data (PBE-GGA) for a relaxed structure of TmThTl2.

ΔH_f (0 K)   -0.217 eV/atom
Total DFT energy (no corrections)   -4.373 eV/atom
Calculated volume   111.3 Å³ per cell
Density   12.083 g/cm³
Space-group type   P4/mmm, No. 123
Total moment   0.2 μB/cell

Lattice parameters (Å, degrees): 3.5713 3.5713 8.7249 90.00 90.00 90.00
Closest atoms and distances in Å follow each position.
Atoms (fractional coordinates):
Tm1 0.0000 0.0000 0.0000  8 Tl 3.27, 4 Tm 3.57
Th1 0.0000 0.0000 0.5000  8 Tl 3.41, 4 Th 3.57
Tl1 0.5000 0.5000 0.2372  4 Tm 3.27, 4 Th 3.41, 4 Tl 3.57
Tl2 0.5000 0.5000 0.7628  4 Tm 3.27, 4 Th 3.41, 4 Tl 3.57


Record 7
Density functional theory data (PBE-GGA) for a relaxed structure of CrOsSe2Br.

Total DFT energy (no corrections)   -5.150 eV/atom
Calculated volume   124.1 Å³ per cell
Density   6.421 g/cm³
Space-group type   P4/mmm, No. 123
Total moment   4.6 μB/cell
E above lowest polymorph   0.000 eV per atom

Lattice parameters (Å, degrees): 4.8083 4.8083 5.3697 90.00 90.00 90.00
Closest atoms and distances in Å follow each position.
Atoms (fractional coordinates):
Cr1 0.0000 0.0000 0.0000  4 Br 3.40, 8 Se 3.60
Os1 0.5000 0.5000 0.5000  4 Se 2.40, 2 Br 2.68
Se1 0.0000 0.5000 0.5000  2 Os 2.40
Se2 0.5000 0.0000 0.5000  2 Os 2.40
Br1 0.5000 0.5000 0.0000  2 Os 2.68


Record 8
Density functional theory data (PBE-GGA) for a relaxed structure of LiHRuRh2.

Total DFT energy (no corrections)   -5.785 eV/atom
Calculated volume   56.4 Å³ per cell
Density   9.270 g/cm³
Space-group type   P4/mmm, No. 123
Total moment   0.9 μB/cell

Lattice parameters (Å, degrees): 3.8783 3.8783 3.7493 90.00 90.00 90.00
Closest atoms and distances in Å follow each position.
Atoms (fractional coordinates):
Li1 0.0000 0.0000 0.0000  2 H 1.87
H1 0.0000 0.0000 0.5000  2 Li 1.87, 4 Rh 1.94
Ru1 0.5000 0.5000 0.0000  8 Rh 2.70, 4 Li 2.74
Rh1 0.0000 0.5000 0.5000  2 H 1.94
Rh2 0.5000 0.0000 0.5000  2 H 1.94


Record 9
Density functional theory data (PBE-GGA) for a relaxed structure of ScMnNb2Au.

ΔH_f (0 K)   1.165 eV/atom
Total DFT energy (no corrections)   -6.619 eV/atom
Calculated volume   121.7 Å³ per cell
Density   6.588 g/cm³
Space-group type   P4/mmm, No. 123
Total moment   3.0 μB/cell

Lattice parameters (Å, degrees): 5.0197 5.0197 4.8280 90.00 90.00 90.00
Closest atoms and distances in Å follow each position.
Atoms (fractional coordinates):
Sc1 0.0000 0.0000 0.0000  8 Nb 3.48, 4 Mn 3.55
Mn1 0.5000 0.5000 0.0000  2 Au 2.41
Nb1 0.0000 0.5000 0.5000  2 Au 2.51
Nb2 0.5000 0.0000 0.5000  2 Au 2.51
Au1 0.5000 0.5000 0.5000  2 Mn 2.41, 4 Nb 2.51


Record 10
Density functional theory data (PBE-GGA) for a relaxed structure of LaIn2Ag2.

ΔH_f (0 K)   -0.179 eV/atom
Total DFT energy (no corrections)   -3.401 eV/atom
Calculated volume   237.1 Å³ per cell
Density   8.185 g/cm³
Space-group type   P4/mbm, No. 127
Total moment   0.0 μB/cell
E above lowest polymorph   0.117 eV per atom

Lattice parameters (Å, degrees): 8.6186 8.6186 3.1915 90.00 90.00 90.00
Closest atoms and distances in Å follow each position.
Atoms (fractional coordinates):
La1 0.0000 0.0000 0.0000  2 La 3.19, 4 Ag 3.43, 8 In 3.56
La2 0.5000 0.5000 0.0000  2 La 3.19, 4 Ag 3.43, 8 In 3.56
In1 0.1732 0.3268 0.5000  6 Ag 2.97-3.03, 2 In 3.19
In2 0.3268 0.8268 0.5000  6 Ag 2.97-3.03, 2 In 3.19
In3 0.6732 0.1732 0.5000  6 Ag 2.97-3.03, 2 In 3.19
In4 0.8268 0.6732 0.5000  6 Ag 2.97-3.03, 2 In 3.19
Ag1 0.1209 0.6209 0.0000  3 Ag 2.95-3.19, 6 In 2.97-3.03
Ag2 0.3791 0.1209 0.0000  3 Ag 2.95-3.19, 6 In 2.97-3.03
Ag3 0.6209 0.8791 0.0000  3 Ag 2.95-3.19, 6 In 2.97-3.03
Ag4 0.8791 0.3791 0.0000  3 Ag 2.95-3.19, 6 In 2.97-3.03


Record 11
Density functional theory data (PBE-GGA) for a relaxed structure of NaScSn.

ΔH_f (0 K)   -0.339 eV/atom
Total DFT energy (no corrections)   -4.224 eV/atom
Calculated volume   147.7 Å³ per cell
Density   4.196 g/cm³
Space-group type   Pmmn, No. 59
Total moment   0.0 μB/cell

Lattice parameters (Å, degrees): 3.5347 4.6909 8.9099 90.00 90.00 90.00
Closest atoms and distances in Å follow each position.
Atoms (fractional coordinates):
Na1 0.2500 0.2500 0.0403  4 Na 3.02, 4 Sn 3.16-3.34
Na2 0.7500 0.7500 0.9597  4 Na 3.02, 4 Sn 3.16-3.34
Sc1 0.2500 0.7500 0.6097  5 Sn 2.95-3.10
Sc2 0.7500 0.2500 0.3903  5 Sn 2.95-3.10
Sn1 0.2500 0.7500 0.2782  5 Sc 2.95-3.10, 2 Na 3.16
Sn2 0.7500 0.2500 0.7218  5 Sc 2.95-3.10, 2 Na 3.16


Record 12
Density functional theory data (PBE-GGA) for a relaxed structure of Ce3Y.

ΔH_f (0 K)   0.246 eV/atom
Total DFT energy (no corrections)   -5.821 eV/atom
Calculated volume   112.9 Å³ per cell
Density   7.490 g/cm³
Space-group type   Pmm2, No. 25
Total moment   0.0 μB/cell
E above lowest polymorph   0.175 eV per atom

Lattice parameters (Å, degrees): 3.3179 4.4053 7.7242 90.00 90.00 90.00
Closest atoms and distances in Å follow each position.
Atoms (fractional coordinates):
Ce1 0.0000 0.0000 0.0000  2 Ce 2.82
Ce2 0.0000 0.5000 0.2286  2 Ce 2.82
Ce3 0.5000 0.5000 0.7988  6 Ce 3.17-3.32, 2 Y 3.26
Y1 0.5000 0.0000 0.4883  6 Ce 3.26-3.41, 2 Y 3.32